1.
A relaxed K2TlOs crystal. Source: Alexandria via LeMat-Bulk, functional PBE.

Summary:
The value obtained for the total magnetization is 1.20 μB/cell. The calculation puts the total energy at -3.00 eV/atom. The value obtained for the formation energy is 0.952 eV/atom.

The structure in extended XYZ format:
```
4
Lattice="-5.400 1.605 -2.785 0.114 -2.066 -5.934 0.576 -2.458 5.755" Properties=species:S:1:pos:R:3 pbc="T T T"
Os -2.317 -0.202 -3.822
K -3.620 -0.532 -0.508
K -0.133 -0.012 -0.219
Tl -1.283 -2.404 -2.775
```

=====

2.
A relaxed Na2InSn crystal. Source: Alexandria via LeMat-Bulk, functional PBE.

Summary:
The value obtained for the total magnetization is 0.00 μB/cell. The calculation puts the total energy at -2.29 eV/atom. The value obtained for the formation energy is 0.054 eV/atom.

The structure in extended XYZ format:
```
8
Lattice="-2.254 7.268 -4.357 -6.456 -4.394 -3.989 -6.302 2.211 -1.875" Properties=species:S:1:pos:R:3 pbc="T T T"
Na -12.369 4.159 -8.723
Na -7.971 2.751 -4.523
In -8.556 -0.373 -5.019
Sn -6.455 5.458 -5.203
Na -3.799 4.571 -3.706
Na -5.884 -1.309 -3.492
In -4.355 1.437 -4.173
Sn 0.000 0.000 0.000
```

=====

3.
A relaxed K2Ac3Se3O2 crystal. Source: Alexandria via LeMat-Bulk, functional PBE.

Summary:
The value obtained for the total magnetization is 0.00 μB/cell. The calculation puts the total energy at -5.49 eV/atom. The calculation puts the uncorrected formation energy at -193 kJ/mol of atoms.

The structure in extended XYZ format:
```
10
Lattice="-2.000 -3.064 2.744 -1.725 -2.146 -3.652 13.218 -5.398 -0.207" Properties=species:S:1:pos:R:3 pbc="T T T"
Se 0.000 0.000 0.000
K 4.678 -5.533 1.042
Se 8.762 -6.175 -0.510
Ac 2.815 -1.984 -0.164
Ac 6.679 -8.624 -0.951
O 4.924 -7.387 -0.849
Se 0.732 -4.433 -0.605
O 4.570 -3.220 -0.266
Ac -1.862 -2.605 -0.454
K 4.816 -5.074 -2.157
```

=====

4.
A relaxed ThMnBe crystal. Source: Alexandria via LeMat-Bulk, functional PBE.

Summary:
The value obtained for the total magnetization is 2.15 μB/cell. The calculation puts the total energy at -6.69 eV/atom. The value obtained for the formation energy is 0.077 eV/atom.

The structure in extended XYZ format:
```
6
Lattice="-0.353 3.770 1.285 -1.796 -1.353 3.475 6.187 -2.324 2.294" Properties=species:S:1:pos:R:3 pbc="T T T"
Mn 1.473 0.652 4.713
Th -0.104 -1.105 3.213
Th 4.142 1.199 3.841
Be 2.564 -1.300 4.517
Be 1.474 1.394 2.537
Mn 2.565 -0.558 2.341
```